# TcBi3Pt

TcBi3Pt after structural relaxation (GGA-PBE, Alexandria).

Unit cell a=5.2167 b=5.2167 c=5.2167 alpha=90.00 beta=90.00 gamma=90.00
Fractional positions:
Bi (0.0000, 0.5000, 0.0000)
Bi (0.0000, 0.0000, 0.5000)
Bi (0.5000, 0.0000, 0.0000)
Pt (0.5000, 0.5000, 0.5000)
Tc (0.0000, 0.0000, 0.0000)

For the total magnetization, the calculation gives 0.00 μB per atom. The formation energy from the elements is 751 meV/atom. Its density of states at the Fermi level is 1.65 states/eV/atom.

***

# TcBiPt2

TcBiPt2 after structural relaxation (GGA-PBE, Alexandria).

Unit cell a=6.0912 b=6.0912 c=7.1092 alpha=64.63 beta=64.63 gamma=90.00
Fractional positions:
Bi (0.0000, 0.0000, 0.0000)
Bi (0.7500, 0.2500, 0.5000)
Pt (0.5789, 0.1250, 0.2500)
Pt (0.1711, 0.6250, 0.2500)
Pt (0.3750, 0.4211, 0.7500)
Pt (0.8750, 0.8289, 0.7500)
Tc (0.5000, 0.5000, 0.0000)
Tc (0.2500, 0.7500, 0.5000)

For the total magnetization, the calculation gives 0.00 μB per atom. The formation energy from the elements is 595 meV/atom. Its density of states at the Fermi level is 0.76 states/eV/atom.

***

# Tc2BiPt

Tc2BiPt after structural relaxation (GGA-PBE, Alexandria).

Unit cell a=5.9340 b=5.9340 c=7.1860 alpha=65.61 beta=65.61 gamma=90.00
Fractional positions:
Bi (0.0000, 0.0000, 0.0000)
Bi (0.7500, 0.2500, 0.5000)
Pt (0.5000, 0.5000, 0.0000)
Pt (0.2500, 0.7500, 0.5000)
Tc (0.5826, 0.1250, 0.2500)
Tc (0.1674, 0.6250, 0.2500)
Tc (0.3750, 0.4174, 0.7500)
Tc (0.8750, 0.8326, 0.7500)

For the total magnetization, the calculation gives 0.00 μB per atom. The formation energy from the elements is 1161 meV/atom. Its density of states at the Fermi level is 1.27 states/eV/atom.

***

# Tc2BiPt2

Tc2BiPt2 after structural relaxation (GGA-PBE, Alexandria).

Unit cell a=7.0046 b=7.0046 c=3.6648 alpha=90.00 beta=90.00 gamma=90.00
Fractional positions:
Bi (0.0000, 0.0000, 0.0000)
Bi (0.5000, 0.5000, 0.0000)
Pt (0.1680, 0.6680, 0.5000)
Pt (0.6680, 0.8320, 0.5000)
Pt (0.8320, 0.3320, 0.5000)
Pt (0.3320, 0.1680, 0.5000)
Tc (0.3788, 0.8788, 0.0000)
Tc (0.8788, 0.6212, 0.0000)
Tc (0.6212, 0.1212, 0.0000)
Tc (0.1212, 0.3788, 0.0000)

For the total magnetization, the calculation gives 0.00 μB per atom. The formation energy from the elements is 276 meV/atom. Its density of states at the Fermi level is 0.74 states/eV/atom.